A plane-wave DFT calculation with PBE was carried out for an optimized crystal structure of HgTePbI2.

Computed properties:
Total energy   -9.90 eV for the cell shown
M_tot   1.61 μB per cell
Raw formation energy   0.0697 eV/atom
Energy above the lowest structure with this stoichiometry   0.000 eV/atom

Cell lengths 6.2515, 6.2515, 6.1346 Å; angles 90.00, 90.00, 90.00 degrees
Last column: nearest neighbours and their distance in Å.
Space group P4/mmm (No. 123)
One atom of each set of equivalent atoms:
Hg (0.0000, 0.0000, 0.0000) x1  8 I 4.38, 4 Te 4.42
Te (0.5000, 0.5000, 0.0000) x1  2 Pb 3.07
Pb (0.5000, 0.5000, 0.5000) x1  2 Te 3.07, 4 I 3.13
I (0.0000, 0.5000, 0.5000) x2  2 Pb 3.13